1.
Density functional theory data (PBE) for an optimized crystal structure of Zn2Ni5P3.

Structure (CIF):
```
data_Zn2Ni5P3
_symmetry_space_group_name_H-M 'P 1'
_symmetry_Int_Tables_number 1
_cell_length_a 7.082
_cell_length_b 7.082
_cell_length_c 5.135
_cell_angle_alpha 93.34
_cell_angle_beta 93.34
_cell_angle_gamma 103.70
loop_
_symmetry_equiv_pos_as_xyz
'x,y,z'
loop_
_atom_site_label
_atom_site_type_symbol
_atom_site_fract_x
_atom_site_fract_y
_atom_site_fract_z
_atom_site_occupancy
Zn1 Zn 0.118 0.661 0.928 1
Zn2 Zn 0.339 0.882 0.572 1
Zn3 Zn 0.661 0.118 0.428 1
Zn4 Zn 0.882 0.339 0.072 1
Ni1 Ni 0.023 0.977 0.750 1
Ni2 Ni 0.169 0.538 0.369 1
Ni3 Ni 0.249 0.330 0.932 1
Ni4 Ni 0.330 0.249 0.432 1
Ni5 Ni 0.462 0.831 0.131 1
Ni6 Ni 0.538 0.169 0.869 1
Ni7 Ni 0.670 0.751 0.568 1
Ni8 Ni 0.751 0.670 0.068 1
Ni9 Ni 0.831 0.462 0.631 1
Ni10 Ni 0.977 0.023 0.250 1
P1 P 0.031 0.269 0.568 1
P2 P 0.269 0.031 0.068 1
P3 P 0.468 0.532 0.250 1
P4 P 0.532 0.468 0.750 1
P5 P 0.731 0.969 0.932 1
P6 P 0.969 0.731 0.432 1
```

***

2.
Density functional theory data (PBE) for an optimized crystal structure of Sr2TlBi.

Calculated values
- Excess energy over the best structure of this formula in the dataset: 0.043 eV/atom

Structure (CIF):
```
data_Sr2TlBi
_symmetry_space_group_name_H-M 'P 1'
_symmetry_Int_Tables_number 1
_cell_length_a 5.853
_cell_length_b 5.853
_cell_length_c 5.853
_cell_angle_alpha 60.00
_cell_angle_beta 60.00
_cell_angle_gamma 60.00
loop_
_symmetry_equiv_pos_as_xyz
'x,y,z'
loop_
_atom_site_label
_atom_site_type_symbol
_atom_site_fract_x
_atom_site_fract_y
_atom_site_fract_z
_atom_site_occupancy
Sr1 Sr 0.250 0.250 0.250 1
Sr2 Sr 0.750 0.750 0.750 1
Tl1 Tl 0.000 0.000 0.000 1
Bi1 Bi 0.500 0.500 0.500 1
```

***

DFT total energy / eV/f.u.: -50.5, -11.9
Energy relative to the elements / eV/atom: -0.2843, -0.5819
Calculated volume / Å³ per cell: 249.1, 141.8